A plane-wave DFT calculation with PBE was carried out for a geometry-optimized K7Na2Hg2 structure.

Results
magnetization	0.00	μB/f.u.
energy of formation from the pure elements	-0.0320	eV/atom
space group	C2/m, No. 12

Cell: 8.472 9.030 8.472 Å, 90.06 108.36 89.94°
Sites, in units of the cell vectors:
K: 0.000 0.269 0.500
K: 0.500 0.731 0.000
K: 0.000 0.731 0.500
K: 0.500 0.269 0.000
K: 0.000 0.000 0.000
K: 0.500 0.768 0.500
K: 0.500 0.232 0.500
Na: 0.835 0.500 0.835
Na: 0.165 0.500 0.165
Hg: 0.720 0.000 0.280
Hg: 0.280 0.000 0.720